# CaLa4Y3Se8

An optimized crystal structure of CaLa4Y3Se8 (PBE, Alexandria).

Computed properties:
SG	R-3m, No. 166
electronic total energy	-6.2174	eV/atom

Unit cell a=8.4631 b=8.4631 c=8.4631 alpha=59.43 beta=59.43 gamma=59.43
Closest atoms and distances in Å follow each position.
Element x y z (fractional)
Ca (0.0000, 0.0000, 0.0000)  6 Se 2.92
La (0.0000, 0.0000, 0.5000)  6 Se 3.05
La (0.0000, 0.5000, 0.0000)  6 Se 3.05
La (0.5000, 0.0000, 0.0000)  6 Se 3.05
La (0.5000, 0.5000, 0.5000)  6 Se 3.04
Y (0.0000, 0.5000, 0.5000)  6 Se 2.91
Y (0.5000, 0.0000, 0.5000)  6 Se 2.91
Y (0.5000, 0.5000, 0.0000)  6 Se 2.91
Se (0.2447, 0.2447, 0.7432)  2 Y 2.91, 1 Ca 2.92, 3 La 3.04-3.05
Se (0.2447, 0.7432, 0.2447)  2 Y 2.91, 1 Ca 2.92, 3 La 3.04-3.05
Se (0.2559, 0.2559, 0.2559)  3 Y 2.91, 3 La 3.05
Se (0.2568, 0.7552, 0.7553)  2 Y 2.91, 1 Ca 2.92, 3 La 3.04-3.05
Se (0.7432, 0.2447, 0.2448)  2 Y 2.91, 1 Ca 2.92, 3 La 3.04-3.05
Se (0.7441, 0.7441, 0.7441)  3 Y 2.91, 3 La 3.05
Se (0.7552, 0.2568, 0.7552)  2 Y 2.91, 1 Ca 2.92, 3 La 3.04-3.05
Se (0.7552, 0.7553, 0.2568)  2 Y 2.91, 1 Ca 2.92, 3 La 3.04-3.05


# CaLa3Y3Se8

An optimized crystal structure of CaLa3Y3Se8 (PBE, Alexandria).

Computed properties:
SG	R-3m, No. 166
electronic total energy	-6.2165	eV/atom

Unit cell a=8.4338 b=8.4338 c=8.4338 alpha=59.13 beta=59.13 gamma=59.13
Closest atoms and distances in Å follow each position.
Element x y z (fractional)
Ca (0.0000, 0.0000, 0.0000)  6 Se 2.96
La (0.0000, 0.0000, 0.5000)  6 Se 3.03
La (0.0000, 0.5000, 0.0000)  6 Se 3.03
La (0.5000, 0.0000, 0.0000)  6 Se 3.03
Y (0.0000, 0.5000, 0.5000)  6 Se 2.90
Y (0.5000, 0.0000, 0.5000)  6 Se 2.90
Y (0.5000, 0.5000, 0.0000)  6 Se 2.90
Se (0.2496, 0.2496, 0.7393)  2 Y 2.90, 1 Ca 2.96, 2 La 3.03
Se (0.2496, 0.7393, 0.2496)  2 Y 2.90, 1 Ca 2.96, 2 La 3.03
Se (0.2556, 0.2556, 0.2556)  3 Y 2.90, 3 La 3.03
Se (0.2607, 0.7504, 0.7504)  2 Y 2.90, 1 Ca 2.96, 2 La 3.03
Se (0.7393, 0.2496, 0.2496)  2 Y 2.90, 1 Ca 2.96, 2 La 3.03
Se (0.7444, 0.7444, 0.7444)  3 Y 2.90, 3 La 3.03
Se (0.7504, 0.2607, 0.7504)  2 Y 2.90, 1 Ca 2.96, 2 La 3.03
Se (0.7504, 0.7504, 0.2607)  2 Y 2.90, 1 Ca 2.96, 2 La 3.03


# Ca4LaY3Se8

An optimized crystal structure of Ca4LaY3Se8 (PBE, Alexandria).

Computed properties:
SG	R-3m, No. 166
electronic total energy	-5.6627	eV/atom

Unit cell a=8.3928 b=8.3928 c=8.3928 alpha=59.20 beta=59.20 gamma=59.20
Closest atoms and distances in Å follow each position.
Element x y z (fractional)
Ca (0.0000, 0.0000, 0.0000)  6 Se 2.90
Ca (0.0000, 0.5000, 0.5000)  6 Se 2.97
Ca (0.5000, 0.0000, 0.5000)  6 Se 2.97
Ca (0.5000, 0.5000, 0.0000)  6 Se 2.97
La (0.5000, 0.5000, 0.5000)  6 Se 3.00
Y (0.0000, 0.0000, 0.5000)  6 Se 2.93
Y (0.0000, 0.5000, 0.0000)  6 Se 2.93
Y (0.5000, 0.0000, 0.0000)  6 Se 2.93
Se (0.2422, 0.7545, 0.7545)  3 Ca 2.90-2.97, 2 Y 2.93, 1 La 3.00
Se (0.2455, 0.2455, 0.7578)  3 Ca 2.90-2.97, 2 Y 2.93, 1 La 3.00
Se (0.2455, 0.7578, 0.2455)  3 Ca 2.90-2.97, 2 Y 2.93, 1 La 3.00
Se (0.2485, 0.2485, 0.2485)  3 Y 2.93, 3 Ca 2.97
Se (0.7515, 0.7515, 0.7515)  3 Y 2.93, 3 Ca 2.97
Se (0.7545, 0.2422, 0.7545)  3 Ca 2.90-2.97, 2 Y 2.93, 1 La 3.00
Se (0.7545, 0.7545, 0.2422)  3 Ca 2.90-2.97, 2 Y 2.93, 1 La 3.00
Se (0.7578, 0.2455, 0.2455)  3 Ca 2.90-2.97, 2 Y 2.93, 1 La 3.00


# CaLaY4Se8

An optimized crystal structure of CaLaY4Se8 (PBE, Alexandria).

Computed properties:
SG	R3m, No. 160
electronic total energy	-6.1595	eV/atom

Unit cell a=8.5999 b=8.5999 c=8.5999 alpha=59.06 beta=59.06 gamma=59.06
Closest atoms and distances in Å follow each position.
Element x y z (fractional)
Ca (0.0000, 0.0000, 0.0000)  4 Se 2.80-2.83
La (0.6281, 0.6281, 0.6281)  6 Se 2.98-3.04
Y (0.1207, 0.6284, 0.6284)  6 Se 2.85-2.94
Y (0.2527, 0.2527, 0.2527)  4 Se 2.75-2.80
Y (0.6284, 0.1207, 0.6284)  6 Se 2.85-2.94
Y (0.6284, 0.6284, 0.1207)  6 Se 2.85-2.94
Se (0.3770, 0.3770, 0.8568)  3 Y 2.75-2.93, 1 La 3.04
Se (0.3770, 0.8568, 0.3770)  3 Y 2.75-2.93, 1 La 3.04
Se (0.3847, 0.3847, 0.3847)  4 Y 2.80-2.94
Se (0.4033, 0.8738, 0.8738)  1 Ca 2.80, 2 Y 2.85, 1 La 2.98
Se (0.8568, 0.3770, 0.3770)  3 Y 2.75-2.93, 1 La 3.04
Se (0.8664, 0.8664, 0.8664)  1 Ca 2.83, 3 Y 2.88
Se (0.8738, 0.4033, 0.8738)  1 Ca 2.80, 2 Y 2.85, 1 La 2.98
Se (0.8738, 0.8738, 0.4033)  1 Ca 2.80, 2 Y 2.85, 1 La 2.98


# CaLaSi

An optimized crystal structure of CaLaSi (PBE, Alexandria).

Computed properties:
SG	I4mm, No. 107
electronic total energy	-4.4065	eV/atom

Unit cell a=3.5925 b=3.5925 c=13.9757 alpha=90.00 beta=90.00 gamma=90.00
Closest atoms and distances in Å follow each position.
Element x y z (fractional)
Ca (0.0000, 0.0000, 0.0000)  4 Si 3.12
Ca (0.5000, 0.5000, 0.5000)  4 Si 3.12
La (0.0000, 0.0000, 0.7415)  4 Si 3.11
La (0.5000, 0.5000, 0.2415)  4 Si 3.11
Si (0.0000, 0.0000, 0.3703)  4 La 3.11, 4 Ca 3.12
Si (0.5000, 0.5000, 0.8703)  4 La 3.11, 4 Ca 3.12


# CaLaSi

An optimized crystal structure of CaLaSi (PBE, Alexandria).

Computed properties:
SG	F-43m, No. 216
electronic total energy	-4.5619	eV/atom

Unit cell a=7.1965 b=7.1965 c=7.1965 alpha=90.00 beta=90.00 gamma=90.00
Closest atoms and distances in Å follow each position.
Element x y z (fractional)
Ca (0.0000, 0.0000, 0.0000)  4 Si 3.12
Ca (0.0000, 0.5000, 0.5000)  4 Si 3.12
Ca (0.5000, 0.0000, 0.5000)  4 Si 3.12
Ca (0.5000, 0.5000, 0.0000)  4 Si 3.12
La (0.0000, 0.0000, 0.5000)  4 Si 3.12
La (0.0000, 0.5000, 0.0000)  4 Si 3.12
La (0.5000, 0.0000, 0.0000)  4 Si 3.12
La (0.5000, 0.5000, 0.5000)  4 Si 3.12
Si (0.2500, 0.2500, 0.7500)  4 La 3.12, 4 Ca 3.12
Si (0.2500, 0.7500, 0.2500)  4 La 3.12, 4 Ca 3.12
Si (0.7500, 0.2500, 0.2500)  4 La 3.12, 4 Ca 3.12
Si (0.7500, 0.7500, 0.7500)  4 La 3.12, 4 Ca 3.12


# Ca2LaSi2

An optimized crystal structure of Ca2LaSi2 (PBE, Alexandria).

Computed properties:
energy above the most stable polymorph in this dataset	0.000	eV/atom
SG	I4/mmm, No. 139
electronic total energy	-4.3771	eV/atom

Unit cell a=4.5620 b=4.5620 c=12.7623 alpha=90.00 beta=90.00 gamma=90.00
Closest atoms and distances in Å follow each position.
Element x y z (fractional)
Ca (0.0000, 0.5000, 0.2500)  4 Si 3.04, 4 Ca 3.23
Ca (0.0000, 0.5000, 0.7500)  4 Si 3.04, 4 Ca 3.23
Ca (0.5000, 0.0000, 0.2500)  4 Si 3.04, 4 Ca 3.23
Ca (0.5000, 0.0000, 0.7500)  4 Si 3.04, 4 Ca 3.23
La (0.0000, 0.0000, 0.0000)  8 Si 3.43
La (0.5000, 0.5000, 0.5000)  8 Si 3.43
Si (0.0000, 0.0000, 0.4077)  1 Si 2.36
Si (0.0000, 0.0000, 0.5923)  1 Si 2.36
Si (0.5000, 0.5000, 0.0923)  1 Si 2.36
Si (0.5000, 0.5000, 0.9077)  1 Si 2.36


# Ca4LaSi

An optimized crystal structure of Ca4LaSi (PBE, Alexandria).

Computed properties:
SG	F-43m, No. 216
electronic total energy	-2.5926	eV/atom

Unit cell a=6.7264 b=6.7264 c=6.7264 alpha=60.00 beta=60.00 gamma=60.00
Closest atoms and distances in Å follow each position.
Element x y z (fractional)
Ca (0.1251, 0.1251, 0.1251)  6 Ca 3.36-3.37
Ca (0.1251, 0.1251, 0.6246)  6 Ca 3.36-3.37
Ca (0.1251, 0.6246, 0.1251)  6 Ca 3.36-3.37
Ca (0.6246, 0.1251, 0.1251)  6 Ca 3.36-3.37
La (0.7500, 0.7500, 0.7500)  12 Ca 3.94, 4 Si 4.12
Si (0.5000, 0.5000, 0.5000)  12 Ca 3.94, 4 La 4.12


# CaLa2Si

An optimized crystal structure of CaLa2Si (PBE, Alexandria).

Computed properties:
SG	R3m, No. 160
electronic total energy	-4.5455	eV/atom

Unit cell a=4.1655 b=4.1655 c=30.9518 alpha=90.00 beta=90.00 gamma=120.00
Closest atoms and distances in Å follow each position.
Element x y z (fractional)
Ca (0.0000, 0.0000, 0.0000)  6 Ca 4.17, 6 La 4.18-4.21
Ca (0.3333, 0.6667, 0.6667)  6 Ca 4.17, 6 La 4.17-4.21
Ca (0.6667, 0.3333, 0.3333)  6 Ca 4.17, 6 La 4.18-4.21
La (0.0000, 0.0000, 0.5550)  3 Si 2.97
La (0.0000, 0.0000, 0.7769)  3 Si 2.95
La (0.3333, 0.6667, 0.2217)  3 Si 2.97
La (0.3333, 0.6667, 0.4436)  3 Si 2.95
La (0.6667, 0.3333, 0.1103)  3 Si 2.95
La (0.6667, 0.3333, 0.8883)  3 Si 2.96-2.97
Si (0.0000, 0.0000, 0.1656)  6 La 2.95-2.97
Si (0.3333, 0.6667, 0.8323)  6 La 2.95-2.97
Si (0.6667, 0.3333, 0.4990)  6 La 2.95-2.97


# CaLaSi

An optimized crystal structure of CaLaSi (PBE, Alexandria).

Computed properties:
SG	P3m1, No. 156
electronic total energy	-4.3639	eV/atom

Unit cell a=4.8124 b=4.8124 c=4.4321 alpha=90.00 beta=90.00 gamma=120.00
Closest atoms and distances in Å follow each position.
Element x y z (fractional)
Ca (0.0000, 0.0000, 0.0000)  3 Si 2.88
La (0.6667, 0.3333, 0.4786)  3 Si 3.18, 3 Ca 3.50
Si (0.3333, 0.6667, 0.8281)  3 Ca 2.88, 3 La 3.18


# CaLaSi4

An optimized crystal structure of CaLaSi4 (PBE, Alexandria).

Computed properties:
energy above the most stable polymorph in this dataset	0.000	eV/atom
SG	I-4m2, No. 119
electronic total energy	-5.2982	eV/atom

Unit cell a=4.3658 b=4.3658 c=13.4531 alpha=90.00 beta=90.00 gamma=90.00
Closest atoms and distances in Å follow each position.
Element x y z (fractional)
Ca (0.0000, 0.0000, 0.0000)  12 Si 3.10-3.30
Ca (0.5000, 0.5000, 0.5000)  12 Si 3.10-3.30
La (0.0000, 0.5000, 0.2500)  12 Si 3.10-3.30
La (0.5000, 0.0000, 0.7500)  12 Si 3.10-3.30
Si (0.0000, 0.0000, 0.4140)  3 Si 2.31-2.42
Si (0.0000, 0.0000, 0.5860)  3 Si 2.31-2.42
Si (0.0000, 0.5000, 0.6639)  3 Si 2.32-2.42
Si (0.0000, 0.5000, 0.8361)  3 Si 2.32-2.42
Si (0.5000, 0.0000, 0.1639)  3 Si 2.32-2.42
Si (0.5000, 0.0000, 0.3361)  3 Si 2.32-2.42
Si (0.5000, 0.5000, 0.0860)  3 Si 2.31-2.42
Si (0.5000, 0.5000, 0.9140)  3 Si 2.31-2.42


# CaLa2Si

An optimized crystal structure of CaLa2Si (PBE, Alexandria).

Computed properties:
SG	R-3m, No. 166
electronic total energy	-4.5441	eV/atom

Unit cell a=4.2169 b=4.2169 c=29.9321 alpha=90.00 beta=90.00 gamma=120.00
Closest atoms and distances in Å follow each position.
Element x y z (fractional)
Ca (0.0000, 0.0000, 0.0000)  6 La 4.10, 6 Ca 4.22
Ca (0.3333, 0.6667, 0.6667)  6 La 4.10, 6 Ca 4.22
Ca (0.6667, 0.3333, 0.3333)  6 La 4.10, 6 Ca 4.22
La (0.0000, 0.0000, 0.2233)  3 Si 2.97
La (0.0000, 0.0000, 0.7767)  3 Si 2.97
La (0.3333, 0.6667, 0.4433)  3 Si 2.97
La (0.3333, 0.6667, 0.8900)  3 Si 2.97
La (0.6667, 0.3333, 0.1100)  3 Si 2.97
La (0.6667, 0.3333, 0.5567)  3 Si 2.97
Si (0.0000, 0.0000, 0.5000)  6 La 2.97
Si (0.3333, 0.6667, 0.1667)  6 La 2.97
Si (0.6667, 0.3333, 0.8333)  6 La 2.97


| no. | E_form (uncorrected) (meV/atom) | volume (Å³ per cell) |
| --- | --- | --- |
| 1 | -1906.2 | 423 |
| 2 | -1946.3 | 416 |
| 3 | -1900.0 | 410 |
| 4 | -1826.6 | 440 |
| 5 | -289.2 | 180 |
| 6 | -444.6 | 373 |
| 7 | -421.8 | 266 |
| 8 | 466.9 | 215 |
| 9 | -225.7 | 465 |
| 10 | -246.5 | 89 |
| 11 | -528.0 | 256 |
| 12 | -224.2 | 461 |